No. 1
VASP calculation (PBE) on PrDy4Hg after structural relaxation.

Cell and atoms, written as POSCAR:
```
PrDy4Hg
1.0
-1.209 -0.131 3.398
-2.874 -1.888 -1.095
7.065 -11.946 2.054
Pr Dy Hg
1 4 1
Direct
0.000 0.000 0.000 Pr
0.500 0.500 0.182 Dy
0.000 0.000 0.641 Dy
0.000 0.000 0.359 Dy
0.500 0.500 0.818 Dy
0.500 0.500 0.500 Hg
```

Computed properties:
SG	P4/mmm (123)
E_form	-0.1407	eV/atom
relative energy among the computed polymorphs	0.0000	eV per atom

***

No. 2
VASP calculation (PBE) on Pr5DyHg4 after structural relaxation.

Cell and atoms, written as POSCAR:
```
Pr5DyHg4
1.0
-1.330 2.981 -2.003
-1.114 -2.373 -2.792
-18.230 -2.065 9.029
Pr Dy Hg
5 1 4
Direct
0.500 0.500 0.118 Pr
0.500 0.500 0.309 Pr
0.500 0.500 0.500 Pr
0.500 0.500 0.691 Pr
0.500 0.500 0.882 Pr
0.000 0.000 0.000 Dy
0.000 0.000 0.211 Hg
0.000 0.000 0.405 Hg
0.000 0.000 0.595 Hg
0.000 0.000 0.789 Hg
```

Computed properties:
SG	P4/mmm (123)
E_form	-0.3622	eV/atom

***

No. 3
VASP calculation (PBE) on PrDy4Hg2 after structural relaxation.

Cell and atoms, written as POSCAR:
```
PrDy4Hg2
1.0
-1.052 2.371 -4.321
-3.188 -2.079 -3.304
-9.353 4.959 2.059
Pr Dy Hg
1 4 2
Direct
0.500 0.500 0.500 Pr
0.702 0.702 0.893 Dy
0.895 0.895 0.315 Dy
0.298 0.298 0.107 Dy
0.105 0.105 0.685 Dy
0.602 0.602 0.194 Hg
0.398 0.398 0.806 Hg
```

Computed properties:
SG	R-3m (166)
E_form	0.0250	eV/atom
relative energy among the computed polymorphs	0.1194	eV per atom

***

No. 4
VASP calculation (PBE) on Pr4DyHg2 after structural relaxation.

Cell and atoms, written as POSCAR:
```
Pr4DyHg2
1.0
-4.222 -7.044 4.179
5.146 -1.867 7.936
-5.314 6.426 -3.824
Pr Dy Hg
8 2 4
Direct
0.803 0.145 0.244 Pr
0.265 0.773 0.403 Pr
0.058 0.735 0.858 Pr
0.860 0.938 0.597 Pr
0.246 0.228 0.504 Pr
0.594 0.255 0.915 Pr
0.453 0.679 0.757 Pr
0.824 0.588 0.990 Pr
0.025 0.431 0.274 Dy
0.331 0.195 0.080 Dy
0.576 0.150 0.423 Hg
0.457 0.711 0.143 Hg
0.658 0.644 0.528 Hg
0.099 0.279 0.785 Hg
```

Computed properties:
SG	P1 (1)
E_form	-0.1919	eV/atom

***

No. 5
VASP calculation (PBE) on Pr5Dy4Hg after structural relaxation.

Cell and atoms, written as POSCAR:
```
Pr5Dy4Hg
1.0
3.677 0.000 0.000
0.000 3.677 0.000
0.000 0.000 24.365
Pr Dy Hg
5 4 1
Direct
0.500 0.500 0.086 Pr
0.500 0.500 0.294 Pr
0.500 0.500 0.500 Pr
0.500 0.500 0.706 Pr
0.500 0.500 0.914 Pr
0.000 0.000 0.190 Dy
0.000 0.000 0.397 Dy
0.000 0.000 0.603 Dy
0.000 0.000 0.810 Dy
0.000 0.000 0.000 Hg
```

Computed properties:
SG	P4/mmm (123)
E_form	-0.0718	eV/atom

***

No. 6
VASP calculation (PBE) on PrDy5Hg4 after structural relaxation.

Cell and atoms, written as POSCAR:
```
PrDy5Hg4
1.0
3.699 0.000 0.000
0.000 3.699 0.000
0.000 0.000 20.049
Pr Dy Hg
1 5 4
Direct
0.000 0.000 0.000 Pr
0.500 0.500 0.126 Dy
0.500 0.500 0.313 Dy
0.500 0.500 0.500 Dy
0.500 0.500 0.687 Dy
0.500 0.500 0.874 Dy
0.000 0.000 0.218 Hg
0.000 0.000 0.405 Hg
0.000 0.000 0.595 Hg
0.000 0.000 0.782 Hg
```

Computed properties:
SG	P4/mmm (123)
E_form	-0.3805	eV/atom

***

No. 7
VASP calculation (PBE) on Pr2Dy3Hg2 after structural relaxation.

Cell and atoms, written as POSCAR:
```
Pr2Dy3Hg2
1.0
-1.677 0.363 4.455
2.031 -6.012 -1.303
6.172 5.294 1.891
Pr Dy Hg
2 3 2
Direct
0.865 0.730 0.212 Pr
0.135 0.270 0.788 Pr
0.500 0.000 0.000 Dy
0.629 0.258 0.456 Dy
0.371 0.742 0.544 Dy
0.849 0.698 0.799 Hg
0.151 0.302 0.201 Hg
```

Computed properties:
SG	C2/m (12)
E_form	-0.2037	eV/atom
relative energy among the computed polymorphs	0.0081	eV per atom

***

No. 8
VASP calculation (PBE) on PrDy3Hg4 after structural relaxation.

Cell and atoms, written as POSCAR:
```
PrDy3Hg4
1.0
5.280 0.000 0.000
0.000 7.619 0.000
0.000 0.000 10.562
Pr Hg Dy
2 8 6
Direct
0.000 0.500 0.000 Pr
0.000 0.500 0.500 Pr
0.500 0.762 0.000 Hg
0.500 0.762 0.500 Hg
0.500 0.238 0.000 Hg
0.500 0.238 0.500 Hg
0.001 0.762 0.750 Hg
0.999 0.762 0.250 Hg
0.999 0.238 0.250 Hg
0.001 0.238 0.750 Hg
0.000 0.000 0.000 Dy
0.000 0.000 0.500 Dy
0.500 0.000 0.750 Dy
0.500 0.000 0.250 Dy
0.500 0.500 0.750 Dy
0.500 0.500 0.250 Dy
```

Computed properties:
SG	P4/mmm (123)
E_form	-0.4717	eV/atom

***

No. 9
VASP calculation (PBE) on Pr6DyHg5 after structural relaxation.

Cell and atoms, written as POSCAR:
```
Pr6DyHg5
1.0
-0.745 0.654 -5.340
7.422 -2.247 -1.311
-5.829 -7.069 2.709
Pr Hg Dy
6 5 1
Direct
0.828 0.572 0.656 Pr
0.828 0.084 0.656 Pr
0.500 0.729 0.000 Pr
0.500 0.271 0.000 Pr
0.172 0.916 0.344 Pr
0.172 0.428 0.344 Pr
0.650 0.150 0.299 Hg
0.331 0.331 0.662 Hg
0.000 0.500 0.000 Hg
0.669 0.669 0.338 Hg
0.350 0.850 0.701 Hg
0.000 0.000 0.000 Dy
```

Computed properties:
SG	Immm (71)
E_form	-0.3494	eV/atom

***

No. 10
VASP calculation (PBE) on Pr12DyHg6 after structural relaxation.

Cell and atoms, written as POSCAR:
```
Pr12DyHg6
1.0
8.265 0.730 0.874
-0.532 8.280 0.874
-0.532 -0.619 8.303
Pr Dy Hg
12 1 6
Direct
0.811 0.532 0.426 Pr
0.426 0.811 0.532 Pr
0.532 0.426 0.811 Pr
0.189 0.468 0.574 Pr
0.574 0.189 0.468 Pr
0.468 0.574 0.189 Pr
0.057 0.147 0.390 Pr
0.853 0.610 0.943 Pr
0.610 0.943 0.853 Pr
0.943 0.853 0.610 Pr
0.147 0.390 0.057 Pr
0.390 0.057 0.147 Pr
0.000 0.000 0.000 Dy
0.735 0.880 0.252 Hg
0.748 0.265 0.120 Hg
0.120 0.748 0.265 Hg
0.265 0.120 0.748 Hg
0.252 0.735 0.880 Hg
0.880 0.252 0.735 Hg
```

Computed properties:
SG	R-3 (148)
E_form	-0.1995	eV/atom

***

No. 11
VASP calculation (PBE) on PrDyHg after structural relaxation.

Cell and atoms, written as POSCAR:
```
PrDyHg
1.0
-0.957 2.968 -2.391
-4.278 0.871 2.795
4.426 2.408 1.217
Pr Hg Dy
1 1 1
Direct
0.667 0.667 0.333 Pr
0.167 0.333 0.667 Hg
0.166 0.000 0.000 Dy
```

Computed properties:
SG	P-6m2 (187)
E_form	-0.1921	eV/atom
relative energy among the computed polymorphs	0.1413	eV per atom

***

No. 12
VASP calculation (PBE) on PrDy4Hg2 after structural relaxation.

Cell and atoms, written as POSCAR:
```
PrDy4Hg2
1.0
-3.006 -1.544 1.115
3.189 -5.992 5.984
-3.589 9.660 9.376
Pr Dy Hg
2 8 4
Direct
0.897 0.062 0.144 Pr
0.103 0.938 0.856 Pr
0.273 0.071 0.382 Dy
0.848 0.328 0.977 Dy
0.009 0.258 0.724 Dy
0.621 0.410 0.347 Dy
0.379 0.590 0.653 Dy
0.991 0.742 0.276 Dy
0.152 0.672 0.023 Dy
0.727 0.929 0.618 Dy
0.600 0.258 0.541 Hg
0.218 0.403 0.161 Hg
0.782 0.597 0.839 Hg
0.400 0.742 0.459 Hg
```

Computed properties:
SG	C2/m (12)
E_form	-0.0943	eV/atom
relative energy among the computed polymorphs	0.0000	eV per atom